1.
AcCd5Ag2Sn | GGA-PBE | relaxed

extended XYZ file:
```
9
Lattice="5.390 0.000 0.000 0.000 5.390 0.000 0.000 0.000 8.006" Properties=species:S:1:pos:R:3 pbc="T T T"
Ac 0.000 0.000 0.000
Cd 0.000 2.695 2.201
Cd 0.000 2.695 5.805
Cd 2.695 0.000 2.201
Cd 2.695 0.000 5.805
Cd 2.695 2.695 0.000
Ag 2.695 2.695 2.676
Ag 2.695 2.695 5.331
Sn 0.000 0.000 4.003
```

Values from the calculation:
The value obtained for the formation energy is -0.0103 eV/atom. The calculated volume is 25.84 Å³/atom. The space group is P4/mmm (123). Its total moment is 0.00 μB/f.u. The value obtained for the calculated total energy is -2.05 eV/atom.

=====

2.
Ac2Cd3AgSn4 | GGA-PBE | relaxed

extended XYZ file:
```
10
Lattice="4.899 0.000 0.000 0.000 4.899 0.000 0.000 0.000 11.679" Properties=species:S:1:pos:R:3 pbc="T T T"
Ac 0.000 2.450 2.849
Ac 2.450 0.000 8.831
Cd 0.000 0.000 0.000
Cd 0.000 2.450 7.419
Cd 2.450 0.000 4.261
Ag 2.450 2.450 0.000
Sn 0.000 0.000 5.840
Sn 0.000 2.450 10.154
Sn 2.450 0.000 1.526
Sn 2.450 2.450 5.840
```

Values from the calculation:
The value obtained for the formation energy is -0.3438 eV/atom. The calculated volume is 28.04 Å³/atom. The space group is P-4m2 (115). Its total moment is 0.00 μB/f.u. The value obtained for the calculated total energy is -3.33 eV/atom.

=====

3.
Ac2CdAg3Sn4 | GGA-PBE | relaxed

extended XYZ file:
```
10
Lattice="4.681 0.000 0.000 0.000 4.681 0.000 0.000 0.000 12.076" Properties=species:S:1:pos:R:3 pbc="T T T"
Ac 0.000 2.341 3.005
Ac 2.341 0.000 9.071
Cd 2.341 2.341 0.000
Ag 0.000 0.000 0.000
Ag 0.000 2.341 7.696
Ag 2.341 0.000 4.380
Sn 0.000 0.000 6.038
Sn 0.000 2.341 10.396
Sn 2.341 0.000 1.679
Sn 2.341 2.341 6.038
```

Values from the calculation:
The value obtained for the formation energy is -0.4294 eV/atom. The calculated volume is 26.46 Å³/atom. The space group is P-4m2 (115). Its total moment is 0.00 μB/f.u. The value obtained for the calculated total energy is -3.80 eV/atom.

=====

4.
SrAcCdAg | GGA-PBE | relaxed

extended XYZ file:
```
16
Lattice="8.011 0.000 0.000 0.000 8.011 0.000 0.000 0.000 8.011" Properties=species:S:1:pos:R:3 pbc="T T T"
Sr 0.000 0.000 0.000
Sr 0.000 4.005 4.005
Sr 4.005 0.000 4.005
Sr 4.005 4.005 0.000
Ac 0.000 0.000 4.005
Ac 0.000 4.005 0.000
Ac 4.005 0.000 0.000
Ac 4.005 4.005 4.005
Cd 2.003 2.003 6.008
Cd 2.003 6.008 2.003
Cd 6.008 2.003 2.003
Cd 6.008 6.008 6.008
Ag 2.003 2.003 2.003
Ag 2.003 6.008 6.008
Ag 6.008 2.003 6.008
Ag 6.008 6.008 2.003
```

Values from the calculation:
The value obtained for the formation energy is -0.2753 eV/atom. The calculated volume is 32.13 Å³/atom. The space group is F-43m (216). Its total moment is 0.00 μB/f.u. The value obtained for the calculated total energy is -2.66 eV/atom.

=====

5.
SrAcCdAg | GGA-PBE | relaxed

extended XYZ file:
```
4
Lattice="4.000 0.000 0.000 0.000 4.000 0.000 0.000 0.000 8.057" Properties=species:S:1:pos:R:3 pbc="T T T"
Sr 0.000 0.000 0.000
Ac 0.000 0.000 4.170
Cd 2.000 2.000 2.082
Ag 2.000 2.000 6.051
```

Values from the calculation:
The value obtained for the formation energy is -0.2909 eV/atom. The calculated volume is 32.22 Å³/atom. The space group is P4mm (99). Its total moment is 0.00 μB/f.u. The value obtained for the calculated total energy is -2.68 eV/atom.

=====

6.
AcTbCdAg | GGA-PBE | relaxed

extended XYZ file:
```
4
Lattice="3.834 0.000 0.000 0.000 3.834 0.000 0.000 0.000 7.811" Properties=species:S:1:pos:R:3 pbc="T T T"
Ac 0.000 0.000 0.000
Tb 0.000 0.000 3.778
Cd 1.917 1.917 5.568
Ag 1.917 1.917 2.204
```

Values from the calculation:
The value obtained for the formation energy is -0.2827 eV/atom. The calculated volume is 28.71 Å³/atom. The space group is P4mm (99). Its total moment is 0.01 μB/f.u. The value obtained for the calculated total energy is -3.41 eV/atom.

=====

7.
AcTbCdAg | GGA-PBE | relaxed

extended XYZ file:
```
16
Lattice="7.751 0.000 0.000 0.000 7.751 0.000 0.000 0.000 7.751" Properties=species:S:1:pos:R:3 pbc="T T T"
Ac 0.000 0.000 0.000
Ac 0.000 3.875 3.875
Ac 3.875 0.000 3.875
Ac 3.875 3.875 0.000
Tb 0.000 0.000 3.875
Tb 0.000 3.875 0.000
Tb 3.875 0.000 0.000
Tb 3.875 3.875 3.875
Cd 1.938 1.938 1.938
Cd 1.938 5.813 5.813
Cd 5.813 1.938 5.813
Cd 5.813 5.813 1.938
Ag 1.938 1.938 5.813
Ag 1.938 5.813 1.938
Ag 5.813 1.938 1.938
Ag 5.813 5.813 5.813
```

Values from the calculation:
The value obtained for the formation energy is -0.2448 eV/atom. The calculated volume is 29.10 Å³/atom. The space group is F-43m (216). Its total moment is 0.00 μB/f.u. The value obtained for the calculated total energy is -3.37 eV/atom.

=====

8.
AcCdAgTe3 | GGA-PBE | relaxed

extended XYZ file:
```
12
Lattice="9.055 0.000 0.000 0.000 4.673 0.000 -1.158 0.000 9.582" Properties=species:S:1:pos:R:3 pbc="T T T"
Ac 0.776 1.168 2.427
Ac 7.121 3.505 7.155
Cd 1.974 1.168 6.378
Cd 5.923 3.505 3.204
Ag 3.716 1.168 0.264
Ag 4.181 3.505 9.317
Te -0.014 1.168 8.496
Te 0.912 3.505 5.033
Te 3.380 3.505 1.934
Te 4.517 1.168 7.648
Te 6.986 1.168 4.549
Te 7.911 3.505 1.086
```

Values from the calculation:
The calculated volume is 33.79 Å³/atom. The space group is P2_1/m (11). Its total moment is 0.00 μB/f.u. The value obtained for the energy relative to the elements, uncorrected is -0.801 eV per atom. The value obtained for the calculated total energy is -3.68 eV/atom.